Entry 1:
Density functional theory data (GGA-PBE) for a relaxed Pr2Zn5Ni crystal.

Geometry as CIF:
```
data_Pr2Zn5Ni
_chemical_formula_sum 'Pr8 Zn20 Ni4'
_cell_length_a 4.337
_cell_length_b 16.230
_cell_length_c 9.010
_cell_angle_alpha 90.00
_cell_angle_beta 90.00
_cell_angle_gamma 90.00
_symmetry_space_group_name_H-M 'C m c m'
_symmetry_Int_Tables_number 63
_symmetry_space_group_name_Hall '-C 2c 2'
loop_
_atom_site_label
_atom_site_fract_x
_atom_site_fract_y
_atom_site_fract_z
Pr1 0.000 0.000 0.000
Pr2 0.000 0.191 0.250
Zn1 0.000 0.190 0.609
Zn2 0.000 0.352 0.521
Zn3 0.000 0.405 0.250
Ni1 0.000 0.442 0.750
```

Entry 2:
Density functional theory data (GGA-PBE) for a relaxed TbPr2Dy2Y4 crystal.

Geometry as CIF:
```
data_TbPr2Dy2Y4
_chemical_formula_sum 'Tb2 Pr4 Dy4 Y8'
_cell_length_a 18.819
_cell_length_b 3.628
_cell_length_c 9.634
_cell_angle_alpha 90.00
_cell_angle_beta 115.70
_cell_angle_gamma 90.00
_symmetry_space_group_name_H-M 'C 1 2/m 1'
_symmetry_Int_Tables_number 12
_symmetry_space_group_name_Hall '-C 2y'
loop_
_atom_site_label
_atom_site_fract_x
_atom_site_fract_y
_atom_site_fract_z
Tb1 0.000 0.000 0.000
Pr1 0.165 0.500 0.998
Dy1 0.147 0.000 0.663
Y1 0.019 0.500 0.336
Y2 0.186 0.000 0.335
```

no.,electronic total energy (eV for the cell shown),calculated formation energy (meV/atom),M_tot (Bohr magnetons per cell)
1,-96.2,-294,0.0
2,-98.6,-4,0.0